Entry 1:
Computed, not measured: a geometry-optimized Mn2CdTe structure at the GGA-PBEsol level of DFT.

Unit cell a=3.783 b=4.311 c=4.311 alpha=90.00 beta=90.00 gamma=90.00
Sites, in units of the cell vectors:
Cd1 0.500 0.000 0.000
Mn1 0.000 0.000 0.500
Mn2 0.000 0.500 0.000
Te1 0.500 0.500 0.500

Calculated values
Energy above the lowest structure with this stoichiometry   0.0 meV/atom
Uncorrected formation energy   40 kJ per mole of atoms
E   -22.6 eV/cell
Fermi-level density of states   2.661 states/eV/cell


Entry 2:
Computed, not measured: a geometry-optimized Mn2CdTe structure at the GGA-PBEsol level of DFT.

Unit cell a=4.207 b=5.006 c=4.260 alpha=115.20 beta=90.00 gamma=114.85
Sites, in units of the cell vectors:
Cd1 0.000 0.000 0.500
Mn1 0.750 0.500 0.750
Mn2 0.250 0.500 0.250
Te1 0.500 0.000 0.000

Calculated values
Energy above the lowest structure with this stoichiometry   24.9 meV/atom
Uncorrected formation energy   42 kJ per mole of atoms
E   -22.5 eV/cell
Fermi-level density of states   2.710 states/eV/cell


Entry 3:
Computed, not measured: a geometry-optimized Ti3MnCd structure at the GGA-PBEsol level of DFT.

Unit cell a=4.469 b=4.469 c=4.469 alpha=90.00 beta=90.00 gamma=90.00
Sites, in units of the cell vectors:
Mn1 0.000 0.000 0.000
Ti1 0.000 0.500 0.000
Ti2 0.000 0.000 0.500
Ti3 0.500 0.000 0.000
Cd1 0.500 0.500 0.500

Calculated values
Energy relative to the elements   0.33 eV per atom
E   -34.3 eV/cell
Fermi-level density of states   7.647 states/eV/cell


Entry 4:
Computed, not measured: a geometry-optimized TiMn2CdW structure at the GGA-PBEsol level of DFT.

Unit cell a=4.539 b=4.539 c=4.727 alpha=90.00 beta=90.00 gamma=90.00
Sites, in units of the cell vectors:
Mn1 0.000 0.500 0.000
Mn2 0.500 0.000 0.000
Ti1 0.000 0.000 0.500
W1 0.000 0.000 0.000
Cd1 0.500 0.500 0.500

Calculated values
Energy relative to the elements   1.26 eV per atom
E   -36.6 eV/cell
Fermi-level density of states   6.214 states/eV/cell


Entry 5:
Computed, not measured: a geometry-optimized Mn2Tl2Cd structure at the GGA-PBEsol level of DFT.

Unit cell a=4.122 b=4.122 c=6.980 alpha=107.17 beta=107.17 gamma=90.00
Sites, in units of the cell vectors:
Cd1 0.000 0.000 0.000
Mn1 0.594 0.594 0.188
Mn2 0.406 0.406 0.812
Tl1 0.250 0.750 0.500
Tl2 0.750 0.250 0.500

Calculated values
Energy relative to the elements   0.77 eV per atom
E   -22.1 eV/cell
Fermi-level density of states   4.586 states/eV/cell


Entry 6:
Computed, not measured: a geometry-optimized Mn2CdW structure at the GGA-PBEsol level of DFT.

Unit cell a=2.853 b=2.853 c=8.672 alpha=80.53 beta=80.53 gamma=60.00
Sites, in units of the cell vectors:
Cd1 0.000 0.000 0.000
Mn1 0.243 0.243 0.272
Mn2 0.757 0.757 0.728
W1 0.500 0.500 0.500

Calculated values
Energy relative to the elements   0.48 eV per atom
E   -32.6 eV/cell
Fermi-level density of states   4.478 states/eV/cell


Entry 7:
Computed, not measured: a geometry-optimized Y2MnCd structure at the GGA-PBEsol level of DFT.

Unit cell a=5.091 b=5.073 c=5.089 alpha=120.11 beta=90.00 gamma=120.12
Sites, in units of the cell vectors:
Cd1 0.000 0.000 0.500
Mn1 0.500 0.000 0.000
Y1 0.750 0.500 0.750
Y2 0.250 0.500 0.250

Calculated values
Energy relative to the elements   0.02 eV per atom
Energy above the lowest structure with this stoichiometry   0.0 meV/atom
E   -24.5 eV/cell
Fermi-level density of states   5.375 states/eV/cell


Entry 8:
Computed, not measured: a geometry-optimized Y2MnCd structure at the GGA-PBEsol level of DFT.

Unit cell a=4.967 b=4.967 c=4.967 alpha=60.00 beta=60.00 gamma=60.00
Sites, in units of the cell vectors:
Cd1 0.500 0.500 0.500
Mn1 0.250 0.250 0.250
Y1 0.000 0.000 0.000
Y2 0.750 0.750 0.750

Calculated values
Energy relative to the elements   0.18 eV per atom
Energy above the lowest structure with this stoichiometry   157.9 meV/atom
E   -23.9 eV/cell
Fermi-level density of states   5.196 states/eV/cell


Entry 9:
Computed, not measured: a geometry-optimized Mn2ZnCd structure at the GGA-PBEsol level of DFT.

Unit cell a=2.779 b=4.013 c=5.534 alpha=90.00 beta=101.51 gamma=90.00
Sites, in units of the cell vectors:
Cd1 0.357 0.500 0.764
Mn1 0.955 0.000 0.008
Mn2 0.562 0.500 0.266
Zn1 0.126 0.000 0.461

Calculated values
Energy relative to the elements   0.37 eV per atom
Energy above the lowest structure with this stoichiometry   14.6 meV/atom
E   -20.8 eV/cell
Fermi-level density of states   2.993 states/eV/cell


Entry 10:
Computed, not measured: a geometry-optimized Mn2ZnCd structure at the GGA-PBEsol level of DFT.

Unit cell a=3.852 b=3.852 c=4.852 alpha=113.39 beta=113.39 gamma=90.00
Sites, in units of the cell vectors:
Cd1 0.250 0.750 0.500
Mn1 0.000 0.000 0.000
Mn2 0.750 0.250 0.500
Zn1 0.500 0.500 0.000

Calculated values
Energy relative to the elements   0.40 eV per atom
Energy above the lowest structure with this stoichiometry   38.3 meV/atom
E   -20.7 eV/cell
Fermi-level density of states   4.630 states/eV/cell


Entry 11:
Computed, not measured: a geometry-optimized Mn2ZnCd structure at the GGA-PBEsol level of DFT.

Unit cell a=2.854 b=4.555 c=5.255 alpha=115.68 beta=105.75 gamma=90.00
Sites, in units of the cell vectors:
Cd1 0.246 0.746 0.491
Mn1 0.013 0.013 0.025
Mn2 0.752 0.252 0.504
Zn1 0.490 0.490 0.980

Calculated values
Energy relative to the elements   0.36 eV per atom
Energy above the lowest structure with this stoichiometry   0.0 meV/atom
E   -20.9 eV/cell
Fermi-level density of states   3.056 states/eV/cell


Entry 12:
Computed, not measured: a geometry-optimized Zr2MnCd structure at the GGA-PBEsol level of DFT.

Unit cell a=4.109 b=4.109 c=5.326 alpha=112.69 beta=112.69 gamma=90.00
Sites, in units of the cell vectors:
Cd1 0.500 0.500 0.000
Mn1 0.250 0.750 0.500
Zr1 0.000 0.000 0.000
Zr2 0.750 0.250 0.500

Calculated values
Energy relative to the elements   0.12 eV per atom
E   -28.6 eV/cell
Fermi-level density of states   3.576 states/eV/cell


Entry 13:
Computed, not measured: a geometry-optimized ZrMnCd3 structure at the GGA-PBEsol level of DFT.

Unit cell a=5.405 b=5.405 c=5.405 alpha=90.00 beta=90.00 gamma=90.00
Sites, in units of the cell vectors:
Mn1 0.500 0.500 0.500
Zr1 0.000 0.000 0.000
Cd1 0.000 0.500 0.000
Cd2 0.000 0.000 0.500
Cd3 0.500 0.000 0.000

Calculated values
Energy relative to the elements   1.42 eV per atom
E   -15.3 eV/cell
Fermi-level density of states   5.764 states/eV/cell


Entry 14:
Computed, not measured: a geometry-optimized Zr2MnCd structure at the GGA-PBEsol level of DFT.

Unit cell a=3.144 b=3.144 c=7.407 alpha=90.00 beta=90.01 gamma=90.00
Sites, in units of the cell vectors:
Mn1 0.500 0.500 0.500
Zr1 0.000 0.000 0.706
Zr2 0.000 0.000 0.294
Cd1 0.500 0.500 0.000

Calculated values
Energy relative to the elements   -0.11 eV per atom
E   -29.6 eV/cell
Fermi-level density of states   3.461 states/eV/cell


Entry 15:
Computed, not measured: a geometry-optimized Zr2MnCd structure at the GGA-PBEsol level of DFT.

Unit cell a=3.182 b=4.713 c=5.675 alpha=114.54 beta=106.28 gamma=90.00
Sites, in units of the cell vectors:
Cd1 0.536 0.036 0.071
Mn1 0.257 0.257 0.515
Zr1 0.958 0.458 0.916
Zr2 0.749 0.749 0.499

Calculated values
Energy relative to the elements   0.11 eV per atom
E   -28.7 eV/cell
Fermi-level density of states   5.541 states/eV/cell


Entry 16:
Computed, not measured: a geometry-optimized Zr2MnCd structure at the GGA-PBEsol level of DFT.

Unit cell a=4.711 b=4.711 c=4.711 alpha=60.00 beta=60.00 gamma=60.00
Sites, in units of the cell vectors:
Cd1 0.500 0.500 0.500
Mn1 0.750 0.750 0.750
Zr1 0.000 0.000 0.000
Zr2 0.250 0.250 0.250

Calculated values
Energy relative to the elements   0.18 eV per atom
E   -28.4 eV/cell
Fermi-level density of states   2.707 states/eV/cell


Entry 17:
Computed, not measured: a geometry-optimized Zr2MnCd structure at the GGA-PBEsol level of DFT.

Unit cell a=3.073 b=3.073 c=9.730 alpha=80.92 beta=80.92 gamma=60.00
Sites, in units of the cell vectors:
Cd1 0.493 0.493 0.520
Mn1 0.749 0.749 0.753
Zr1 0.007 0.007 0.978
Zr2 0.250 0.250 0.249

Calculated values
Energy relative to the elements   0.22 eV per atom
E   -28.2 eV/cell
Fermi-level density of states   3.701 states/eV/cell


Entry 18:
Computed, not measured: a geometry-optimized CdMo2 structure at the GGA-PBEsol level of DFT.

Unit cell a=4.558 b=4.458 c=5.385 alpha=90.00 beta=115.04 gamma=90.00
Sites, in units of the cell vectors:
Cd1 0.421 0.750 0.843
Cd2 0.579 0.250 0.157
Mo1 0.103 0.750 0.206
Mo2 0.897 0.250 0.794
Mo3 0.755 0.750 0.510
Mo4 0.245 0.250 0.490

Calculated values
Energy relative to the elements   0.37 eV per atom
E   -47.3 eV/cell
Fermi-level density of states   2.812 states/eV/cell


Entry 19:
Computed, not measured: a geometry-optimized CdMo5 structure at the GGA-PBEsol level of DFT.

Unit cell a=2.597 b=4.686 c=7.969 alpha=90.00 beta=99.38 gamma=90.00
Sites, in units of the cell vectors:
Cd1 0.006 0.000 0.013
Mo1 0.770 0.500 0.539
Mo2 0.675 0.000 0.351
Mo3 0.434 0.500 0.869
Mo4 0.340 0.000 0.681
Mo5 0.107 0.500 0.215

Calculated values
Energy relative to the elements   0.43 eV per atom
Energy above the lowest structure with this stoichiometry   86.0 meV/atom
E   -57.5 eV/cell
Fermi-level density of states   5.756 states/eV/cell


Entry 20:
Computed, not measured: a geometry-optimized CdMo structure at the GGA-PBEsol level of DFT.

Unit cell a=3.809 b=3.809 c=3.809 alpha=60.00 beta=60.00 gamma=60.00
Sites, in units of the cell vectors:
Mo1 0.500 0.500 0.500
Cd1 0.000 0.000 0.000

Calculated values
Energy relative to the elements   1.55 eV per atom
Energy above the lowest structure with this stoichiometry   1090.0 meV/atom
E   -9.9 eV/cell
Fermi-level density of states   1.742 states/eV/cell


Entry 21:
Computed, not measured: a geometry-optimized CdMo structure at the GGA-PBEsol level of DFT.

Unit cell a=2.727 b=2.727 c=4.611 alpha=90.00 beta=90.00 gamma=98.73
Sites, in units of the cell vectors:
Mo1 0.500 0.500 0.500
Cd1 0.000 0.000 0.000

Calculated values
Energy relative to the elements   0.46 eV per atom
Energy above the lowest structure with this stoichiometry   0.0 meV/atom
E   -12.0 eV/cell
Fermi-level density of states   1.373 states/eV/cell


Entry 22:
Computed, not measured: a geometry-optimized CdMo structure at the GGA-PBEsol level of DFT.

Unit cell a=4.594 b=4.594 c=4.594 alpha=60.00 beta=60.00 gamma=60.00
Sites, in units of the cell vectors:
Cd1 0.250 0.250 0.250
Cd2 0.000 0.000 0.000
Mo1 0.500 0.500 0.500
Mo2 0.750 0.750 0.750

Calculated values
Energy relative to the elements   0.58 eV per atom
Energy above the lowest structure with this stoichiometry   122.1 meV/atom
E   -23.6 eV/cell
Fermi-level density of states   2.636 states/eV/cell


Entry 23:
Computed, not measured: a geometry-optimized CdMo5 structure at the GGA-PBEsol level of DFT.

Unit cell a=5.177 b=5.177 c=5.177 alpha=60.00 beta=60.00 gamma=60.00
Sites, in units of the cell vectors:
Cd1 0.000 0.000 0.000
Mo1 0.374 0.374 0.374
Mo2 0.750 0.750 0.750
Mo3 0.877 0.374 0.374
Mo4 0.374 0.877 0.374
Mo5 0.374 0.374 0.877

Calculated values
Energy relative to the elements   0.34 eV per atom
Energy above the lowest structure with this stoichiometry   0.0 meV/atom
E   -58.0 eV/cell
Fermi-level density of states   2.290 states/eV/cell


Entry 24:
Computed, not measured: a geometry-optimized CdMoN3 structure at the GGA-PBEsol level of DFT.

Unit cell a=3.940 b=3.940 c=3.940 alpha=90.00 beta=90.00 gamma=90.00
Sites, in units of the cell vectors:
Mo1 0.000 0.000 0.000
N1 0.000 0.500 0.000
N2 0.000 0.000 0.500
N3 0.500 0.000 0.000
Cd1 0.500 0.500 0.500

Calculated values
Uncorrected formation energy   45 kJ per mole of atoms
E   -36.2 eV/cell
Fermi-level density of states   1.574 states/eV/cell


Entry 25:
Computed, not measured: a geometry-optimized CdMo2N2 structure at the GGA-PBEsol level of DFT.

Unit cell a=3.881 b=3.881 c=5.506 alpha=110.64 beta=110.64 gamma=90.00
Sites, in units of the cell vectors:
Mo1 0.250 0.750 0.500
Mo2 0.750 0.250 0.500
N1 0.318 0.318 0.636
N2 0.682 0.682 0.364
Cd1 0.000 0.000 0.000

Calculated values
Uncorrected formation energy   6 kJ per mole of atoms
E   -41.5 eV/cell
Fermi-level density of states   3.592 states/eV/cell


Entry 26:
Computed, not measured: a geometry-optimized CdSnMo2N structure at the GGA-PBEsol level of DFT.

Unit cell a=3.790 b=5.065 c=5.065 alpha=90.00 beta=90.00 gamma=90.00
Sites, in units of the cell vectors:
Mo1 0.000 0.000 0.500
Mo2 0.000 0.500 0.000
N1 0.500 0.000 0.000
Sn1 0.500 0.500 0.500
Cd1 0.000 0.000 0.000

Calculated values
Uncorrected formation energy   212 kJ per mole of atoms
E   -26.5 eV/cell
Fermi-level density of states   4.803 states/eV/cell


Entry 27:
Computed, not measured: a geometry-optimized Na3CdMo structure at the GGA-PBEsol level of DFT.

Unit cell a=5.552 b=5.552 c=5.552 alpha=90.00 beta=90.00 gamma=90.00
Sites, in units of the cell vectors:
Na1 0.000 0.500 0.000
Na2 0.000 0.000 0.500
Na3 0.500 0.000 0.000
Mo1 0.500 0.500 0.500
Cd1 0.000 0.000 0.000

Calculated values
Energy relative to the elements   1.27 eV per atom
Energy above the lowest structure with this stoichiometry   0.0 meV/atom
E   -10.8 eV/cell
Fermi-level density of states   2.668 states/eV/cell


Entry 28:
Computed, not measured: a geometry-optimized ZrCdNi2Mo structure at the GGA-PBEsol level of DFT.

Unit cell a=4.394 b=4.394 c=5.182 alpha=90.00 beta=90.00 gamma=90.00
Sites, in units of the cell vectors:
Ni1 0.000 0.500 0.000
Ni2 0.500 0.000 0.000
Mo1 0.500 0.500 0.500
Zr1 0.000 0.000 0.000
Cd1 0.000 0.000 0.500

Calculated values
Energy relative to the elements   1.67 eV per atom
E   -26.0 eV/cell
Fermi-level density of states   4.230 states/eV/cell